{
  "formula": "BeIr2W",
  "functional": "PBE-GGA",
  "state": "relaxed",
  "cell": [[2.7404, 0.0000, 0.0000], [0.0000, 3.9584, 0.0000], [-1.3019, 0.0000, 5.0259]],
  "species": ["Be", "Ir", "Ir", "W"],
  "frac_coords": [[0.0000, 0.0000, 0.0000], [0.3749, 0.5000, 0.2327], [0.6251, 0.5000, 0.7673], [0.0000, 0.0000, 0.5000]],
  "magnetic_moment_mub_per_fu": 0.00,
  "dos_at_fermi_per_ev_cell": 1.82,
  "total_energy_ev_per_atom": -8.799
}


{
  "formula": "TaCo2Ag",
  "functional": "PBE-GGA",
  "state": "relaxed",
  "cell": [[1.3856, 0.8000, 8.8900], [-1.3856, 0.8000, 8.8900], [0.0000, -1.6000, 8.8900]],
  "species": ["Ta", "Co", "Co", "Ag"],
  "frac_coords": [[0.0000, 0.0000, 0.0000], [0.2497, 0.2497, 0.2497], [0.5153, 0.5153, 0.5153], [0.7630, 0.7630, 0.7630]],
  "magnetic_moment_mub_per_fu": 3.04,
  "relative_energy_mev_per_atom": 301.7,
  "dos_at_fermi_per_ev_cell": 5.48,
  "total_energy_ev_per_atom": -6.895
}


{
  "formula": "Ce3Zn9Ru2",
  "functional": "PBE-GGA",
  "state": "relaxed",
  "cell": [[-2.2657, 4.7502, 5.8915], [2.2657, -4.7502, 5.8915], [2.2657, 4.7502, -5.8915]],
  "species": ["Ce", "Ce", "Ce", "Zn", "Zn", "Zn", "Zn", "Zn", "Zn", "Zn", "Zn", "Zn", "Ru", "Ru"],
  "frac_coords": [[0.0000, 0.0000, 0.0000], [0.3047, 0.3047, 0.0000], [0.6953, 0.6953, 0.0000], [0.0124, 0.6535, 0.3588], [0.1547, 0.8746, 0.2801], [0.2947, 0.6535, 0.6412], [0.4055, 0.1254, 0.2801], [0.5000, 0.0000, 0.5000], [0.5945, 0.8746, 0.7199], [0.7053, 0.3465, 0.3588], [0.8453, 0.1254, 0.7199], [0.9876, 0.3465, 0.6412], [0.3433, 0.5000, 0.8433], [0.6567, 0.5000, 0.1567]],
  "magnetic_moment_mub_per_fu": 1.41,
  "dos_at_fermi_per_ev_cell": 16.82,
  "total_energy_ev_per_atom": -3.696
}


{
  "formula": "CaPrTm2Se4",
  "functional": "PBE-GGA",
  "state": "relaxed",
  "cell": [[7.1534, 0.0000, 0.0000], [0.0000, 4.0902, 0.0000], [-2.3296, 0.0000, 6.7751]],
  "species": ["Ca", "Pr", "Tm", "Tm", "Se", "Se", "Se", "Se"],
  "frac_coords": [[0.0000, 0.0000, 0.0000], [0.0000, 0.5000, 0.5000], [0.5000, 0.0000, 0.5000], [0.5000, 0.5000, 0.0000], [0.2638, 0.5000, 0.2492], [0.2670, 0.0000, 0.7619], [0.7330, 0.0000, 0.2381], [0.7362, 0.5000, 0.7508]],
  "magnetic_moment_mub_per_fu": 0.00,
  "raw_formation_energy_ev_per_atom": -1.7905,
  "dos_at_fermi_per_ev_cell": 3.15,
  "total_energy_ev_per_atom": -5.498
}


{
  "formula": "DyHo2Bi",
  "functional": "PBE-GGA",
  "state": "relaxed",
  "cell": [[4.8446, 0.0000, 0.0000], [0.0000, 4.8446, 0.0000], [0.0000, 0.0000, 4.8387]],
  "species": ["Dy", "Ho", "Ho", "Bi"],
  "frac_coords": [[0.0000, 0.0000, 0.0000], [0.0000, 0.5000, 0.5000], [0.5000, 0.0000, 0.5000], [0.5000, 0.5000, 0.0000]],
  "magnetic_moment_mub_per_fu": 0.00,
  "relative_energy_mev_per_atom": 88.5,
  "dos_at_fermi_per_ev_cell": 5.89,
  "total_energy_ev_per_atom": -4.734
}


{
  "formula": "Al4PtCl",
  "functional": "PBE-GGA",
  "state": "relaxed",
  "cell": [[0.0000, 3.7641, 3.7641], [3.7641, 0.0000, 3.7641], [3.7641, 3.7641, 0.0000]],
  "species": ["Al", "Al", "Al", "Al", "Pt", "Cl"],
  "frac_coords": [[0.1236, 0.1236, 0.1236], [0.1236, 0.1236, 0.6292], [0.1236, 0.6292, 0.1236], [0.6292, 0.1236, 0.1236], [0.7500, 0.7500, 0.7500], [0.5000, 0.5000, 0.5000]],
  "magnetic_moment_mub_per_fu": 0.00,
  "raw_formation_energy_ev_per_atom": 0.1463,
  "dos_at_fermi_per_ev_cell": 3.07,
  "total_energy_ev_per_atom": -3.663
}


{
  "formula": "PuB2Ir",
  "functional": "PBE-GGA",
  "state": "relaxed",
  "cell": [[1.8402, 1.0624, 4.6617], [-1.8402, 1.0624, 4.6617], [0.0000, -2.1249, 4.6617]],
  "species": ["Pu", "B", "B", "Ir"],
  "frac_coords": [[0.0000, 0.0000, 0.0000], [0.2070, 0.2070, 0.2070], [0.7930, 0.7930, 0.7930], [0.5000, 0.5000, 0.5000]],
  "magnetic_moment_mub_per_fu": 5.01,
  "relative_energy_mev_per_atom": 145.3,
  "dos_at_fermi_per_ev_cell": 10.52,
  "total_energy_ev_per_atom": -9.352
}


{
  "formula": "Li2Nd4Te3N2",
  "functional": "PBE-GGA",
  "state": "relaxed",
  "cell": [[-2.4564, 2.4564, 11.7721], [2.4564, -2.4564, 11.7721], [2.4564, 2.4564, -11.7721]],
  "species": ["Li", "Li", "Nd", "Nd", "Nd", "Nd", "Te", "Te", "Te", "N", "N"],
  "frac_coords": [[0.1929, 0.1929, 0.0000], [0.8071, 0.8071, 0.0000], [0.0944, 0.5944, 0.5000], [0.4056, 0.9056, 0.5000], [0.5944, 0.0944, 0.5000], [0.9056, 0.4056, 0.5000], [0.3128, 0.3128, 0.0000], [0.5000, 0.5000, 0.0000], [0.6872, 0.6872, 0.0000], [0.1060, 0.1060, 0.0000], [0.8940, 0.8940, 0.0000]],
  "magnetic_moment_mub_per_fu": 0.00,
  "raw_formation_energy_ev_per_atom": -1.0984,
  "dos_at_fermi_per_ev_cell": 3.60,
  "total_energy_ev_per_atom": -5.551
}


{
  "formula": "LuThAgPt",
  "functional": "PBE-GGA",
  "state": "relaxed",
  "cell": [[0.0000, 3.5987, 3.5987], [3.5987, 0.0000, 3.5987], [3.5987, 3.5987, 0.0000]],
  "species": ["Lu", "Th", "Ag", "Pt"],
  "frac_coords": [[0.0000, 0.0000, 0.0000], [0.5000, 0.5000, 0.5000], [0.7500, 0.7500, 0.7500], [0.2500, 0.2500, 0.2500]],
  "magnetic_moment_mub_per_fu": 0.00,
  "dos_at_fermi_per_ev_cell": 4.04,
  "total_energy_ev_per_atom": -5.859
}


{
  "formula": "KScSbO2",
  "functional": "PBE-GGA",
  "state": "relaxed",
  "cell": [[4.2938, 0.0000, 0.0000], [0.0000, 4.2938, 0.0000], [0.0000, 0.0000, 5.8103]],
  "species": ["K", "Sc", "Sb", "O", "O"],
  "frac_coords": [[0.0000, 0.0000, 0.0000], [0.5000, 0.5000, 0.5000], [0.5000, 0.5000, 0.0000], [0.0000, 0.5000, 0.5000], [0.5000, 0.0000, 0.5000]],
  "magnetic_moment_mub_per_fu": 0.00,
  "raw_formation_energy_ev_per_atom": -0.9927,
  "dos_at_fermi_per_ev_cell": 4.87,
  "total_energy_ev_per_atom": -5.286
}


{
  "formula": "InTcNi",
  "functional": "PBE-GGA",
  "state": "relaxed",
  "cell": [[4.7174, -1.5082, 0.0000], [4.7174, 1.5082, 0.0000], [-0.4099, 0.0000, 6.6756]],
  "species": ["In", "In", "Tc", "Tc", "Ni", "Ni"],
  "frac_coords": [[0.0692, 0.0692, 0.2990], [0.9308, 0.9308, 0.7010], [0.3576, 0.3576, 0.0500], [0.6424, 0.6424, 0.9500], [0.2036, 0.2036, 0.6606], [0.7964, 0.7964, 0.3394]],
  "magnetic_moment_mub_per_fu": 0.00,
  "relative_energy_mev_per_atom": 52.5,
  "dos_at_fermi_per_ev_cell": 5.23,
  "total_energy_ev_per_atom": -6.204
}


{
  "formula": "Sm4ZnCd2",
  "functional": "PBE-GGA",
  "state": "relaxed",
  "cell": [[2.6403, 1.5244, 8.4999], [-2.6403, 1.5244, 8.4999], [0.0000, -3.0487, 8.4999]],
  "species": ["Sm", "Sm", "Sm", "Sm", "Zn", "Cd", "Cd"],
  "frac_coords": [[0.1227, 0.1227, 0.1227], [0.3742, 0.3742, 0.3742], [0.6258, 0.6258, 0.6258], [0.8773, 0.8773, 0.8773], [0.5000, 0.5000, 0.5000], [0.2481, 0.2481, 0.2481], [0.7519, 0.7519, 0.7519]],
  "magnetic_moment_mub_per_fu": 0.39,
  "dos_at_fermi_per_ev_cell": 9.98,
  "total_energy_ev_per_atom": -3.284
}


{
  "formula": "NbZn3As",
  "functional": "PBE-GGA",
  "state": "relaxed",
  "cell": [[4.7296, 0.0000, 0.0000], [0.0000, 4.7296, 0.0000], [0.0000, 0.0000, 4.7296]],
  "species": ["Nb", "Zn", "Zn", "Zn", "As"],
  "frac_coords": [[0.0000, 0.0000, 0.0000], [0.0000, 0.5000, 0.5000], [0.5000, 0.0000, 0.5000], [0.5000, 0.5000, 0.0000], [0.5000, 0.5000, 0.5000]],
  "magnetic_moment_mub_per_fu": 2.41,
  "relative_energy_mev_per_atom": 0.0,
  "dos_at_fermi_per_ev_cell": 5.05,
  "total_energy_ev_per_atom": -2.733
}


{
  "formula": "Li2ZnGe",
  "functional": "PBE-GGA",
  "state": "relaxed",
  "cell": [[3.8898, 0.0000, 0.0000], [0.0000, 3.8898, 0.0000], [0.0000, 0.0000, 4.0332]],
  "species": ["Li", "Li", "Zn", "Ge"],
  "frac_coords": [[0.0000, 0.5000, 0.0000], [0.5000, 0.0000, 0.0000], [0.0000, 0.0000, 0.5000], [0.5000, 0.5000, 0.5000]],
  "magnetic_moment_mub_per_fu": 0.00,
  "dos_at_fermi_per_ev_cell": 1.34,
  "total_energy_ev_per_atom": -2.653
}


{
  "formula": "ZrIr2C2",
  "functional": "PBE-GGA",
  "state": "relaxed",
  "cell": [[-1.9300, 1.9300, 4.2540], [1.9300, -1.9300, 4.2540], [1.9300, 1.9300, -4.2540]],
  "species": ["Zr", "Ir", "Ir", "C", "C"],
  "frac_coords": [[0.0000, 0.0000, 0.0000], [0.3468, 0.3468, 0.0000], [0.6532, 0.6532, 0.0000], [0.2500, 0.7500, 0.5000], [0.7500, 0.2500, 0.5000]],
  "magnetic_moment_mub_per_fu": 0.00,
  "relative_energy_mev_per_atom": 0.0,
  "dos_at_fermi_per_ev_cell": 1.49,
  "total_energy_ev_per_atom": -8.715
}


{
  "formula": "Mg2ZnCo5Ge2",
  "functional": "PBE-GGA",
  "state": "relaxed",
  "cell": [[8.9503, 0.0000, 0.0000], [0.0000, 8.9503, 0.0000], [0.0000, 0.0000, 3.3567]],
  "species": ["Mg", "Mg", "Mg", "Mg", "Zn", "Zn", "Co", "Co", "Co", "Co", "Co", "Co", "Co", "Co", "Co", "Co", "Ge", "Ge", "Ge", "Ge"],
  "frac_coords": [[0.1705, 0.3295, 0.0000], [0.3295, 0.8295, 0.0000], [0.6705, 0.1705, 0.0000], [0.8295, 0.6705, 0.0000], [0.0000, 0.0000, 0.0000], [0.5000, 0.5000, 0.0000], [0.0000, 0.5000, 0.5000], [0.0652, 0.8026, 0.5000], [0.1974, 0.0652, 0.5000], [0.3026, 0.5652, 0.5000], [0.4348, 0.3026, 0.5000], [0.5000, 0.0000, 0.5000], [0.5652, 0.6974, 0.5000], [0.6974, 0.4348, 0.5000], [0.8026, 0.9348, 0.5000], [0.9348, 0.1974, 0.5000], [0.1290, 0.6290, 0.0000], [0.3710, 0.1290, 0.0000], [0.6290, 0.8710, 0.0000], [0.8710, 0.3710, 0.0000]],
  "magnetic_moment_mub_per_fu": 1.99,
  "dos_at_fermi_per_ev_cell": 17.46,
  "total_energy_ev_per_atom": -4.966
}


{
  "formula": "CuTc2Os",
  "functional": "PBE-GGA",
  "state": "relaxed",
  "cell": [[-3.5172, 3.5172, 2.5708], [3.5172, -3.5172, 2.5708], [3.5172, 3.5172, -2.5708]],
  "species": ["Cu", "Cu", "Tc", "Tc", "Tc", "Tc", "Os", "Os"],
  "frac_coords": [[0.0000, 0.0000, 0.0000], [0.7500, 0.2500, 0.5000], [0.1544, 0.6250, 0.0294], [0.3750, 0.4044, 0.5294], [0.5956, 0.1250, 0.9706], [0.8750, 0.8456, 0.4706], [0.2500, 0.7500, 0.5000], [0.5000, 0.5000, 0.0000]],
  "magnetic_moment_mub_per_fu": 0.00,
  "relative_energy_mev_per_atom": 663.2,
  "dos_at_fermi_per_ev_cell": 9.20,
  "total_energy_ev_per_atom": -8.194
}


{
  "formula": "LiMn2AgBr",
  "functional": "PBE-GGA",
  "state": "relaxed",
  "cell": [[5.0583, 0.0000, 0.0000], [0.0000, 5.0583, 0.0000], [0.0000, 0.0000, 5.0647]],
  "species": ["Li", "Mn", "Mn", "Ag", "Br"],
  "frac_coords": [[0.0000, 0.0000, 0.0000], [0.0000, 0.5000, 0.5000], [0.5000, 0.0000, 0.5000], [0.0000, 0.0000, 0.5000], [0.5000, 0.5000, 0.0000]],
  "magnetic_moment_mub_per_fu": 9.09,
  "raw_formation_energy_ev_per_atom": 0.5525,
  "dos_at_fermi_per_ev_cell": 3.61,
  "total_energy_ev_per_atom": -4.403
}


{
  "formula": "TbErTc",
  "functional": "PBE-GGA",
  "state": "relaxed",
  "cell": [[3.3736, 0.0000, 0.0000], [1.5429, 6.7998, 0.0000], [0.7810, 3.3752, 6.8051]],
  "species": ["Tb", "Tb", "Er", "Er", "Tc", "Tc"],
  "frac_coords": [[0.1651, 0.2533, 0.4993], [0.8349, 0.7467, 0.5007], [0.0000, 0.0000, 0.0000], [0.0000, 0.5000, 0.0000], [0.4991, 0.6231, 0.2551], [0.5009, 0.3769, 0.7449]],
  "magnetic_moment_mub_per_fu": 0.00,
  "relative_energy_mev_per_atom": 160.1,
  "dos_at_fermi_per_ev_cell": 5.39,
  "total_energy_ev_per_atom": -6.413
}


{
  "formula": "LaVSn3",
  "functional": "PBE-GGA",
  "state": "relaxed",
  "cell": [[5.8968, 0.0000, 0.0000], [0.0000, 5.8968, 0.0000], [0.0000, 0.0000, 5.8968]],
  "species": ["La", "V", "Sn", "Sn", "Sn"],
  "frac_coords": [[0.0000, 0.0000, 0.0000], [0.5000, 0.5000, 0.5000], [0.0000, 0.0000, 0.5000], [0.0000, 0.5000, 0.0000], [0.5000, 0.0000, 0.0000]],
  "magnetic_moment_mub_per_fu": 3.51,
  "relative_energy_mev_per_atom": 1347.9,
  "dos_at_fermi_per_ev_cell": 8.66,
  "total_energy_ev_per_atom": -4.026
}


{
  "formula": "TbPrEuMg",
  "functional": "PBE-GGA",
  "state": "relaxed",
  "cell": [[0.0000, 4.0135, 4.0135], [4.0135, 0.0000, 4.0135], [4.0135, 4.0135, 0.0000]],
  "species": ["Tb", "Pr", "Eu", "Mg"],
  "frac_coords": [[0.0000, 0.0000, 0.0000], [0.5000, 0.5000, 0.5000], [0.7500, 0.7500, 0.7500], [0.2500, 0.2500, 0.2500]],
  "magnetic_moment_mub_per_fu": 7.14,
  "dos_at_fermi_per_ev_cell": 3.86,
  "total_energy_ev_per_atom": -5.262
}


{
  "formula": "Nd6Ag2Os",
  "functional": "PBE-GGA",
  "state": "relaxed",
  "cell": [[-4.9302, 5.0881, 5.1341], [4.9302, -5.0881, 5.1341], [4.9302, 5.0881, -5.1341]],
  "species": ["Nd", "Nd", "Nd", "Nd", "Nd", "Nd", "Nd", "Nd", "Nd", "Nd", "Nd", "Nd", "Ag", "Ag", "Ag", "Ag", "Os", "Os"],
  "frac_coords": [[0.0807, 0.2468, 0.8339], [0.1826, 0.2675, 0.4501], [0.1826, 0.7325, 0.9152], [0.2732, 0.6084, 0.3352], [0.2732, 0.9380, 0.6648], [0.4130, 0.2468, 0.1661], [0.5870, 0.7532, 0.8339], [0.7268, 0.0620, 0.3352], [0.7268, 0.3916, 0.6648], [0.8174, 0.2675, 0.0848], [0.8174, 0.7325, 0.5499], [0.9193, 0.7532, 0.1661], [0.3554, 0.0000, 0.3554], [0.5000, 0.3633, 0.8633], [0.5000, 0.6367, 0.1367], [0.6446, 0.0000, 0.6446], [0.0000, 0.0000, 0.0000], [0.0000, 0.5000, 0.5000]],
  "magnetic_moment_mub_per_fu": 0.00,
  "relative_energy_mev_per_atom": 13.6,
  "dos_at_fermi_per_ev_cell": 15.60,
  "total_energy_ev_per_atom": -5.146
}


{
  "formula": "Cs2YAsF6",
  "functional": "PBE-GGA",
  "state": "relaxed",
  "cell": [[-3.0859, 3.0859, 6.0663], [3.0859, -3.0859, 6.0663], [3.0859, 3.0859, -6.0663]],
  "species": ["Cs", "Cs", "Y", "As", "F", "F", "F", "F", "F", "F"],
  "frac_coords": [[0.2500, 0.7500, 0.5000], [0.7500, 0.2500, 0.5000], [0.0000, 0.0000, 0.0000], [0.5000, 0.5000, 0.0000], [0.1789, 0.1789, 0.0000], [0.2510, 0.2510, 0.5021], [0.2510, 0.7490, 0.0000], [0.7490, 0.2510, 0.0000], [0.7490, 0.7490, 0.4979], [0.8211, 0.8211, 0.0000]],
  "magnetic_moment_mub_per_fu": 0.00,
  "raw_formation_energy_ev_per_atom": -2.8247,
  "dos_at_fermi_per_ev_cell": 0.00,
  "total_energy_ev_per_atom": -5.230
}


{
  "formula": "Ta2CdPb",
  "functional": "PBE-GGA",
  "state": "relaxed",
  "cell": [[3.6254, 0.0000, 0.0000], [0.0000, 3.6254, 0.0000], [0.0000, 0.0000, 6.4490]],
  "species": ["Ta", "Ta", "Cd", "Pb"],
  "frac_coords": [[0.0000, 0.0000, 0.0000], [0.5000, 0.5000, 0.1831], [0.0000, 0.0000, 0.4474], [0.5000, 0.5000, 0.7134]],
  "magnetic_moment_mub_per_fu": 0.00,
  "dos_at_fermi_per_ev_cell": 2.15,
  "total_energy_ev_per_atom": -6.726
}


{
  "formula": "InSiOs2",
  "functional": "PBE-GGA",
  "state": "relaxed",
  "cell": [[4.3876, 0.0000, 0.0000], [0.0000, 4.3876, 0.0000], [0.0000, 0.0000, 3.1325]],
  "species": ["In", "Si", "Os", "Os"],
  "frac_coords": [[0.0000, 0.0000, 0.0000], [0.5000, 0.5000, 0.0000], [0.0000, 0.5000, 0.5000], [0.5000, 0.0000, 0.5000]],
  "magnetic_moment_mub_per_fu": 0.00,
  "raw_formation_energy_ev_per_atom": 0.3413,
  "relative_energy_mev_per_atom": 252.5,
  "dos_at_fermi_per_ev_cell": 2.99,
  "total_energy_ev_per_atom": -7.314
}


{
  "formula": "BaAcTe",
  "functional": "PBE-GGA",
  "state": "relaxed",
  "cell": [[5.7126, 0.0000, 0.0000], [-2.8563, 4.9472, 0.0000], [0.0000, 0.0000, 4.7109]],
  "species": ["Ba", "Ac", "Te"],
  "frac_coords": [[0.0000, 0.0000, 0.0000], [0.6667, 0.3333, 0.5005], [0.3333, 0.6667, 0.5023]],
  "magnetic_moment_mub_per_fu": 0.00,
  "raw_formation_energy_ev_per_atom": -0.6505,
  "relative_energy_mev_per_atom": 290.2,
  "dos_at_fermi_per_ev_cell": 3.31,
  "total_energy_ev_per_atom": -3.708
}